[1]
DFT (GGA-PBE) results for a relaxed HfGeSb2Te crystal.

Computed properties:
- Symmetry: P4/mmm (123)
- VASP energy: -4.451 eV/atom
- E above lowest polymorph: 31.0 kJ/mol of atoms
- Formation energy without anion corrections: 0.741 eV/atom
- Magnetization: 0.00 μB/atom
- Crystal system: tetragonal

abc: 5.224 5.224 5.244
angles: 90.00 90.00 90.00
Atoms (fractional coordinates):
1 Sb 0.000 0.500 0.000
2 Sb 0.500 0.000 0.000
3 Ge 0.000 0.000 0.000
4 Te 0.000 0.000 0.500
5 Hf 0.500 0.500 0.500


[2]
DFT (GGA-PBE) results for a relaxed HfGeSb2Te crystal.

Computed properties:
- Symmetry: P4/mmm (123)
- VASP energy: -4.772 eV/atom
- E above lowest polymorph: 0.0 kJ/mol of atoms
- Formation energy without anion corrections: 0.419 eV/atom
- Magnetization: 0.00 μB/atom
- Crystal system: tetragonal

abc: 5.538 5.538 5.457
angles: 90.00 90.00 90.00
Atoms (fractional coordinates):
1 Sb 0.000 0.500 0.000
2 Sb 0.500 0.000 0.000
3 Ge 0.500 0.500 0.500
4 Te 0.000 0.000 0.500
5 Hf 0.000 0.000 0.000